1.
# CaNd2Pt2, relaxed, DFT GGA-PBE
data_CaNd2Pt2
_chemical_formula_sum 'Ca2 Nd4 Pt4'
_cell_length_a 7.9843
_cell_length_b 7.9843
_cell_length_c 4.0439
_cell_angle_alpha 90.00
_cell_angle_beta 90.00
_cell_angle_gamma 90.00
_space_group_name_H-M_alt 'P 4/m b m'
_space_group_IT_number 127
_space_group_name_Hall '-P 4 2ab'
loop_
_atom_site_label
_atom_site_fract_x
_atom_site_fract_y
_atom_site_fract_z
Ca1 0.0000 0.0000 0.0000
Nd1 0.1600 0.3400 0.5000
Pt1 0.1366 0.6366 0.0000
# **Magnetic moment**: 0.000 μB per formula unit
# **ΔH_f (0 K)**: -937 meV/atom



2.
# Zr2ScOs, relaxed, DFT GGA-PBE
data_Zr2ScOs
_chemical_formula_sum 'Zr2 Sc1 Os1'
_cell_length_a 3.3031
_cell_length_b 3.3031
_cell_length_c 7.5010
_cell_angle_alpha 90.00
_cell_angle_beta 90.00
_cell_angle_gamma 90.00
_space_group_name_H-M_alt 'P 4/m m m'
_space_group_IT_number 123
_space_group_name_Hall '-P 4 2'
loop_
_atom_site_label
_atom_site_fract_x
_atom_site_fract_y
_atom_site_fract_z
Zr1 0.0000 0.0000 0.2168
Sc1 0.5000 0.5000 0.5000
Os1 0.5000 0.5000 0.0000
# **Magnetic moment**: 0.001 μB per formula unit
# **ΔH_f (0 K)**: -160 meV/atom



3.
# HoCdIn2, relaxed, DFT GGA-PBE
data_HoCdIn2
_chemical_formula_sum 'Ho4 Cd4 In8'
_cell_length_a 7.3832
_cell_length_b 7.3832
_cell_length_c 7.3832
_cell_angle_alpha 90.00
_cell_angle_beta 90.00
_cell_angle_gamma 90.00
_space_group_name_H-M_alt 'F m -3 m'
_space_group_IT_number 225
_space_group_name_Hall '-F 4 2 3'
loop_
_atom_site_label
_atom_site_fract_x
_atom_site_fract_y
_atom_site_fract_z
Ho1 0.0000 0.0000 0.0000
Cd1 0.0000 0.0000 0.5000
In1 0.2500 0.2500 0.2500
# **Magnetic moment**: 0.000 μB per formula unit
# **ΔH_f (0 K)**: -167 meV/atom



Which formula does entry 3 have? HoCdIn2